#1
{
  "formula": "AlSbPtI2",
  "functional": "PBE-GGA",
  "state": "relaxed",
  "lattice": [[5.6903, 0.0000, 0.0000], [0.0000, 5.6903, 0.0000], [0.0000, 0.0000, 5.1300]],
  "species": ["Al", "Pt", "I", "Sb", "I"],
  "frac_coords": [[0.5000, 0.5000, 0.5000], [0.0000, 0.0000, 0.0000], [0.5000, 0.0000, 0.0000], [0.0000, 0.0000, 0.5000], [0.0000, 0.5000, 0.0000]],
  "dos_at_fermi_per_ev_cell": 3.77,
  "space_group": "P4/mmm, No. 123"
}

#2
{
  "formula": "AlSbPtI2",
  "functional": "PBE-GGA",
  "state": "relaxed",
  "lattice": [[5.2623, 0.0000, 0.0000], [0.0000, 5.2623, 0.0000], [0.0000, 0.0000, 5.5380]],
  "species": ["Sb", "Al", "I", "I", "Pt"],
  "frac_coords": [[0.0000, 0.0000, 0.5000], [0.0000, 0.0000, 0.0000], [0.5000, 0.0000, 0.0000], [0.0000, 0.5000, 0.0000], [0.5000, 0.5000, 0.5000]],
  "dos_at_fermi_per_ev_cell": 5.62,
  "space_group": "P4/mmm, No. 123"
}

Most stable to least stable, the ends of the list are #1 and #2.